Entry 1:
# ZrPdN2F | Alexandria via LeMat-Bulk | PBE | optimized geometry
# Fermi-level density of states in states/eV/cell: 3.534
# Raw total energy in eV per formula unit: -31.14
data_ZrPdN2F
_chemical_formula_sum 'Zr1 Pd1 N2 F1'
_symmetry_space_group_name_H-M 'P 4/m m m'
_symmetry_Int_Tables_number 123
_symmetry_space_group_name_Hall '-P 4 2'
_cell_length_a 4.010
_cell_length_b 4.010
_cell_length_c 3.908
_cell_angle_alpha 90.00
_cell_angle_beta 90.00
_cell_angle_gamma 90.00
loop_
_atom_site_label
_atom_site_type_symbol
_atom_site_fract_x
_atom_site_fract_y
_atom_site_fract_z
_atom_site_occupancy
Zr1 Zr 0.000 0.000 0.000 1
Pd1 Pd 0.500 0.500 0.500 1
N1 N 0.000 0.500 0.500 1
F1 F 0.500 0.500 0.000 1

Entry 2:
# ZrPdNF2 | Alexandria via LeMat-Bulk | PBE | optimized geometry
# Fermi-level density of states in states/eV/cell: 3.468
# Raw total energy in eV per formula unit: -26.53
data_ZrPdNF2
_chemical_formula_sum 'Zr1 Pd1 N1 F2'
_symmetry_space_group_name_H-M 'P 4/m m m'
_symmetry_Int_Tables_number 123
_symmetry_space_group_name_Hall '-P 4 2'
_cell_length_a 4.460
_cell_length_b 4.460
_cell_length_c 3.626
_cell_angle_alpha 90.00
_cell_angle_beta 90.00
_cell_angle_gamma 90.00
loop_
_atom_site_label
_atom_site_type_symbol
_atom_site_fract_x
_atom_site_fract_y
_atom_site_fract_z
_atom_site_occupancy
Zr1 Zr 0.000 0.000 0.000 1
Pd1 Pd 0.500 0.500 0.000 1
N1 N 0.500 0.500 0.500 1
F1 F 0.000 0.500 0.500 1